No. 1
DFT (meta-GGA SCAN) results for a PBEsol-optimized structure of Ti3Co5B2.

```
data_Ti3Co5B2
_cell_length_a 8.3383
_cell_length_b 8.3383
_cell_length_c 3.0142
_cell_angle_alpha 90.00
_cell_angle_beta 90.00
_cell_angle_gamma 90.00
_symmetry_space_group_name_H-M 'P 4/m b m'
_symmetry_Int_Tables_number 127
_symmetry_space_group_name_Hall '-P 4 2ab'
loop_
_atom_site_label
_atom_site_fract_x
_atom_site_fract_y
_atom_site_fract_z
Ti1 0.0000 0.0000 0.0000
Ti2 0.1742 0.3258 0.0000
Co1 0.0000 0.5000 0.5000
Co2 0.0708 0.7800 0.5000
B1 0.1210 0.6210 0.0000
```

Mass density, g cm⁻³: 7.29
DOS(E_F), states/eV per atom: 0.44
Magnetic moment, μB/f.u.: 0.001
Uncorrected energy, eV per atom: -15.459
V, Å³/cell: 209.6

---

No. 2
DFT (meta-GGA SCAN) results for a PBEsol-optimized structure of Ca2Tl.

```
data_Ca2Tl
_cell_length_a 3.9620
_cell_length_b 12.6789
_cell_length_c 7.9350
_cell_angle_alpha 90.00
_cell_angle_beta 90.00
_cell_angle_gamma 90.00
_symmetry_space_group_name_H-M 'C m c 21'
_symmetry_Int_Tables_number 36
loop_
_symmetry_equiv_pos_as_xyz
'x,y,z'
'-x,-y,z+1/2'
'-x,y,z'
'x,-y,z+1/2'
'x+1/2,y+1/2,z'
'-x+1/2,-y+1/2,z+1/2'
'-x+1/2,y+1/2,z'
'x+1/2,-y+1/2,z+1/2'
loop_
_atom_site_label
_atom_site_fract_x
_atom_site_fract_y
_atom_site_fract_z
Ca1 0.0000 0.0322 0.0000
Ca2 0.0000 0.2990 0.1792
Tl1 0.0000 0.3862 0.7899
```

Mass density, g cm⁻³: 4.74
DOS(E_F), states/eV per atom: 0.88
Magnetic moment, μB/f.u.: 0.000
Uncorrected energy, eV per atom: -30.971
V, Å³/cell: 398.6

---

No. 3
DFT (meta-GGA SCAN) results for a PBEsol-optimized structure of Nb2Te2Pt.

```
data_Nb2Te2Pt
_cell_length_a 3.7611
_cell_length_b 3.7611
_cell_length_c 15.4756
_cell_angle_alpha 90.00
_cell_angle_beta 90.00
_cell_angle_gamma 90.00
_symmetry_space_group_name_H-M 'I 4/m m m'
_symmetry_Int_Tables_number 139
_symmetry_space_group_name_Hall '-I 4 2'
loop_
_atom_site_label
_atom_site_fract_x
_atom_site_fract_y
_atom_site_fract_z
Nb1 0.0000 0.5000 0.2500
Te1 0.0000 0.0000 0.1074
Pt1 0.0000 0.0000 0.5000
```

Mass density, g cm⁻³: 9.65
DOS(E_F), states/eV per atom: 1.35
Magnetic moment, μB/f.u.: 0.000
Uncorrected energy, eV per atom: -41.758
V, Å³/cell: 218.9

---

No. 4
DFT (meta-GGA SCAN) results for a PBEsol-optimized structure of RbSi2H18C6N.

```
data_RbSi2H18C6N
_cell_length_a 10.3943
_cell_length_b 8.9662
_cell_length_c 12.9210
_cell_angle_alpha 90.00
_cell_angle_beta 99.20
_cell_angle_gamma 90.00
_symmetry_space_group_name_H-M 'P 1 21/c 1'
_symmetry_Int_Tables_number 14
loop_
_symmetry_equiv_pos_as_xyz
'x,y,z'
'-x,-y,-z'
'-x,y+1/2,-z+1/2'
'x,-y+1/2,z+1/2'
loop_
_atom_site_label
_atom_site_fract_x
_atom_site_fract_y
_atom_site_fract_z
Rb1 0.0735 0.0518 0.3705
Si1 0.2050 0.7453 0.5514
Si2 0.2829 0.0591 0.6322
H1 0.0155 0.2115 0.0636
H2 0.0681 0.6430 0.6798
H3 0.0844 0.5513 0.4333
H4 0.1139 0.7119 0.3601
H5 0.1202 0.1958 0.7211
H6 0.1857 0.5084 0.6537
H7 0.2031 0.0573 0.8078
H8 0.2087 0.2155 0.0188
H9 0.2357 0.6630 0.7388
H10 0.2828 0.2283 0.7866
H11 0.3463 0.1966 0.4772
H12 0.3669 0.1889 0.0901
H13 0.3697 0.5635 0.5049
H14 0.3985 0.7463 0.4591
H15 0.4467 0.7005 0.5935
H16 0.4547 0.5984 0.2400
H17 0.4894 0.5879 0.7707
H18 0.4938 0.0380 0.3784
C1 0.0856 0.6744 0.4350
C2 0.1701 0.6283 0.6670
C3 0.2155 0.1421 0.7481
C4 0.3020 0.2269 0.5466
C5 0.3699 0.6832 0.5251
C6 0.4543 0.5032 0.1858
N1 0.1827 0.5706 0.0679
```

Mass density, g cm⁻³: 1.37
DOS(E_F), states/eV per atom: 0.00
Magnetic moment, μB/f.u.: 0.001
Uncorrected energy, eV per atom: -6.482
V, Å³/cell: 1188.7

---

No. 5
DFT (meta-GGA SCAN) results for a PBEsol-optimized structure of RbLuBeF6.

```
data_RbLuBeF6
_cell_length_a 6.3674
_cell_length_b 5.6907
_cell_length_c 7.0337
_cell_angle_alpha 90.00
_cell_angle_beta 113.97
_cell_angle_gamma 90.00
_symmetry_space_group_name_H-M 'P 1 21/m 1'
_symmetry_Int_Tables_number 11
loop_
_symmetry_equiv_pos_as_xyz
'x,y,z'
'-x,-y,-z'
'-x,y+1/2,-z'
'x,-y+1/2,z'
loop_
_atom_site_label
_atom_site_fract_x
_atom_site_fract_y
_atom_site_fract_z
Rb1 0.0808 0.2500 0.2128
Lu1 0.3935 0.2500 0.8246
Be1 0.2312 0.7500 0.4627
F1 0.0040 0.2500 0.7322
F2 0.2443 0.5295 0.5984
F3 0.3259 0.5012 0.0298
F4 0.4273 0.7500 0.3879
```

Mass density, g cm⁻³: 5.47
DOS(E_F), states/eV per atom: 0.00
Magnetic moment, μB/f.u.: 0.001
Uncorrected energy, eV per atom: -15.175
V, Å³/cell: 232.9

---

No. 6
DFT (meta-GGA SCAN) results for a PBEsol-optimized structure of MgInAu.

```
data_MgInAu
_cell_length_a 3.6574
_cell_length_b 3.6892
_cell_length_c 8.6351
_cell_angle_alpha 90.00
_cell_angle_beta 90.00
_cell_angle_gamma 90.00
_symmetry_space_group_name_H-M 'I m m 2'
_symmetry_Int_Tables_number 44
loop_
_symmetry_equiv_pos_as_xyz
'x,y,z'
'-x,-y,z'
'-x,y,z'
'x,-y,z'
'x+1/2,y+1/2,z+1/2'
'-x+1/2,-y+1/2,z+1/2'
'-x+1/2,y+1/2,z+1/2'
'x+1/2,-y+1/2,z+1/2'
loop_
_atom_site_label
_atom_site_fract_x
_atom_site_fract_y
_atom_site_fract_z
Mg1 0.0000 0.0000 0.0000
In1 0.0000 0.0000 0.3234
Au1 0.0000 0.0000 0.6580
```

Mass density, g cm⁻³: 9.58
DOS(E_F), states/eV per atom: 0.22
Magnetic moment, μB/f.u.: 0.000
Uncorrected energy, eV per atom: -36.266
V, Å³/cell: 116.5

---

No. 7
DFT (meta-GGA SCAN) results for a PBEsol-optimized structure of BeInAs2W.

```
data_BeInAs2W
_cell_length_a 4.3325
_cell_length_b 4.3325
_cell_length_c 4.6169
_cell_angle_alpha 90.00
_cell_angle_beta 90.00
_cell_angle_gamma 90.00
_symmetry_space_group_name_H-M 'P 4/m m m'
_symmetry_Int_Tables_number 123
_symmetry_space_group_name_Hall '-P 4 2'
loop_
_atom_site_label
_atom_site_fract_x
_atom_site_fract_y
_atom_site_fract_z
Be1 0.0000 0.0000 0.0000
In1 0.5000 0.5000 0.5000
As1 0.0000 0.5000 0.0000
W1 0.0000 0.0000 0.5000
```

Mass density, g cm⁻³: 8.77
DOS(E_F), states/eV per atom: 0.61
Magnetic moment, μB/f.u.: 1.630
Uncorrected energy, eV per atom: -28.604
V, Å³/cell: 86.7

---

No. 8
DFT (meta-GGA SCAN) results for a PBEsol-optimized structure of Zn2SiBiAu.

```
data_Zn2SiBiAu
_cell_length_a 5.1878
_cell_length_b 5.1878
_cell_length_c 5.2930
_cell_angle_alpha 90.00
_cell_angle_beta 90.00
_cell_angle_gamma 90.00
_symmetry_space_group_name_H-M 'P 4/m m m'
_symmetry_Int_Tables_number 123
_symmetry_space_group_name_Hall '-P 4 2'
loop_
_atom_site_label
_atom_site_fract_x
_atom_site_fract_y
_atom_site_fract_z
Zn1 0.0000 0.5000 0.0000
Si1 0.0000 0.0000 0.5000
Bi1 0.5000 0.5000 0.0000
Au1 0.5000 0.5000 0.5000
```

Mass density, g cm⁻³: 6.58
DOS(E_F), states/eV per atom: 0.76
Magnetic moment, μB/f.u.: 0.002
Uncorrected energy, eV per atom: -35.786
V, Å³/cell: 142.5